Density functional theory data (GGA-PBEsol) for a relaxed structure of AlFeMo.

Structure (CIF):
```
data_AlFeMo
_chemical_formula_sum 'Al1 Fe1 Mo1'
_cell_length_a 2.8314
_cell_length_b 2.8314
_cell_length_c 5.1986
_cell_angle_alpha 105.80
_cell_angle_beta 105.80
_cell_angle_gamma 90.00
_symmetry_space_group_name_H-M 'P 1'
_symmetry_Int_Tables_number 1
_symmetry_space_group_name_Hall 'P 1'
loop_
_atom_site_label
_atom_site_fract_x
_atom_site_fract_y
_atom_site_fract_z
Mo1 0.3221 0.3221 0.6441
Fe1 0.6640 0.6640 0.3279
Al1 0.0140 0.0140 0.0279
```

Output
calculated density	7.7	g/cm³
energy	-8.50	eV per atom
SG	I4mm (107)
formation enthalpy at 0 K	-0.2253	eV per atom